Entry 1:
LiInSbI2: optimized geometry, GGA-PBE.

- DOS at the Fermi energy (states/eV per atom) = 0.7769
- mass density (g/cm³) = 5.018
- E_tot (eV/f.u.) = -12.26
- distance to the lowest polymorph of the same formula (eV/f.u.) = 0.00
- formation energy from raw total energies (kJ/mol of formula units) = -37.3
- V (Å³ per cell) = 164.6

a b c (Å): 5.6282 5.6282 5.1953
angles (deg): 90.00 90.00 90.00
Closest atoms and distances in Å follow each position.
Element x y z (fractional)
I 0.0000 0.5000 0.0000  2 Li 2.81
I 0.5000 0.0000 0.0000  2 Li 2.81
In 0.5000 0.5000 0.5000  8 I 3.83, 4 Sb 3.98
Sb 0.0000 0.0000 0.5000  2 Li 2.60
Li 0.0000 0.0000 0.0000  2 Sb 2.60, 4 I 2.81

***

Entry 2:
SrZn2Cr2: optimized geometry, GGA-PBE.

- DOS at the Fermi energy (states/eV per atom) = 1.1528
- mass density (g/cm³) = 6.183
- formation enthalpy at 0 K (eV per atom) = 0.43
- E_tot (eV/f.u.) = -21.30
- distance to the lowest polymorph of the same formula (eV/f.u.) = 0.07
- V (Å³ per cell) = 173.2

a b c (Å): 7.8271 7.8271 2.8271
angles (deg): 90.00 90.00 90.00
Closest atoms and distances in Å follow each position.
Element x y z (fractional)
Zn 0.1882 0.6882 0.5000  6 Cr 2.71-2.83, 2 Zn 2.83
Zn 0.8118 0.3118 0.5000  6 Cr 2.71-2.83, 2 Zn 2.83
Zn 0.3118 0.1882 0.5000  6 Cr 2.71-2.83, 2 Zn 2.83
Zn 0.6882 0.8118 0.5000  6 Cr 2.71-2.83, 2 Zn 2.83
Sr 0.0000 0.0000 0.0000  2 Sr 2.83
Sr 0.5000 0.5000 0.0000  2 Sr 2.83
Cr 0.4102 0.9102 0.0000  1 Cr 1.99
Cr 0.0898 0.4102 0.0000  1 Cr 1.99
Cr 0.9102 0.5898 0.0000  1 Cr 1.99
Cr 0.5898 0.0898 0.0000  1 Cr 1.99

***

Entry 3:
RePdO4: optimized geometry, GGA-PBE.

- DOS at the Fermi energy (states/eV per atom) = 1.1541
- mass density (g/cm³) = 4.643
- E_tot (eV/f.u.) = -42.63
- formation energy from raw total energies (kJ/mol of formula units) = -497.2
- V (Å³ per cell) = 255.1

a b c (Å): 5.5374 5.5852 8.2485
angles (deg): 90.00 90.00 90.00
Closest atoms and distances in Å follow each position.
Element x y z (fractional)
Re 0.0000 0.5000 0.0000  4 O 1.78
Re 0.0000 0.0000 0.5000  4 O 1.78
O 0.8192 0.8139 0.6264  1 Re 1.78
O 0.1904 0.3199 0.1235  1 Re 1.78
O 0.8192 0.1861 0.3736  1 Re 1.78
O 0.1808 0.1861 0.6264  1 Re 1.78
O 0.8096 0.6801 0.1235  1 Re 1.78
O 0.1904 0.6801 0.8765  1 Re 1.78
O 0.1808 0.8139 0.3736  1 Re 1.78
O 0.8096 0.3199 0.8765  1 Re 1.78
Pd 0.0000 0.0000 0.0000  4 O 2.31
Pd 0.5000 0.0000 0.5000  4 O 2.30

***

Entry 4:
Li2GaCuH: optimized geometry, GGA-PBE.

- DOS at the Fermi energy (states/eV per atom) = 0.4120
- mass density (g/cm³) = 4.187
- E_tot (eV/f.u.) = -14.78
- distance to the lowest polymorph of the same formula (eV/f.u.) = 0.34
- V (Å³ per cell) = 58.8

a b c (Å): 3.7115 3.7115 4.2661
angles (deg): 90.00 90.00 90.00
Closest atoms and distances in Å follow each position.
Element x y z (fractional)
Ga 0.0000 0.0000 0.5000  2 H 2.13
H 0.0000 0.0000 0.0000  4 Li 1.86
Cu 0.5000 0.5000 0.5000  4 Ga 2.62, 8 Li 2.83
Li 0.0000 0.5000 0.0000  2 H 1.86
Li 0.5000 0.0000 0.0000  2 H 1.86

***

Entry 5:
Na2ZrInS4: optimized geometry, GGA-PBE.

- DOS at the Fermi energy (states/eV per atom) = 0.3861
- mass density (g/cm³) = 3.664
- E_tot (eV/f.u.) = -39.76
- formation energy from raw total energies (kJ/mol of formula units) = -900.2
- V (Å³ per cell) = 172.3

a b c (Å): 3.7956 6.8850 6.9444
angles (deg): 108.26 90.00 90.00
Closest atoms and distances in Å follow each position.
Element x y z (fractional)
S 0.0000 0.2685 0.7790  2 Zr 2.64, 1 In 2.75, 3 Na 2.87-2.92
S 0.0000 0.7315 0.2210  2 Zr 2.64, 1 In 2.75, 3 Na 2.87-2.92
S 0.5000 0.2546 0.2182  1 Zr 2.60, 2 In 2.70, 2 Na 2.87
S 0.5000 0.7454 0.7818  1 Zr 2.60, 2 In 2.70, 2 Na 2.87
Na 0.5000 0.0000 0.5000  6 S 2.92-3.01
Na 0.0000 0.5000 0.5000  6 S 2.87
Zr 0.5000 0.5000 0.0000  6 S 2.60-2.64
In 0.0000 0.0000 0.0000  6 S 2.70-2.75

***

Entry 6:
Ac2GaOsC: optimized geometry, GGA-PBE.

- DOS at the Fermi energy (states/eV per atom) = 0.8163
- mass density (g/cm³) = 9.315
- formation enthalpy at 0 K (eV per atom) = -0.19
- E_tot (eV/f.u.) = -32.63
- V (Å³ per cell) = 258.8

a b c (Å): 4.4071 6.7383 9.2557
angles (deg): 109.67 90.00 90.00
Closest atoms and distances in Å follow each position.
Element x y z (fractional)
C 0.7500 0.1988 0.1747  1 Os 1.85
C 0.2500 0.8012 0.8253  1 Os 1.85
Ga 0.7500 0.3215 0.7035  2 Os 2.51
Ga 0.2500 0.6785 0.2965  2 Os 2.51
Os 0.2500 0.5106 0.7448  1 C 1.85
Os 0.7500 0.4894 0.2552  1 C 1.85
Ac 0.7500 0.7712 0.0322  3 C 2.74-2.97
Ac 0.2500 0.2179 0.3898  2 C 2.94, 1 Os 3.21
Ac 0.2500 0.2288 0.9678  3 C 2.74-2.97
Ac 0.7500 0.7821 0.6102  2 C 2.94, 1 Os 3.21

***

Entry 7:
BIrW: optimized geometry, GGA-PBE.

- DOS at the Fermi energy (states/eV per atom) = 0.5237
- mass density (g/cm³) = 16.717
- formation enthalpy at 0 K (eV per atom) = 0.00
- E_tot (eV/f.u.) = -28.48
- V (Å³ per cell) = 153.7

a b c (Å): 5.1662 5.1662 6.8381
angles (deg): 112.61 112.61 88.99
Closest atoms and distances in Å follow each position.
Element x y z (fractional)
W 0.6250 0.8750 0.2500  2 B 2.41, 2 W 2.58
W 0.6250 0.3750 0.2500  2 B 2.41, 2 W 2.58
W 0.1250 0.3750 0.7500  2 B 2.41, 2 W 2.58
W 0.6250 0.3750 0.7500  2 B 2.41, 2 W 2.58
B 0.8575 0.8575 0.0000  1 B 2.10, 4 Ir 2.14-2.22
B 0.3925 0.8925 0.5000  1 B 2.10, 4 Ir 2.14-2.22
B 0.1075 0.6075 0.5000  1 B 2.10, 4 Ir 2.14-2.22
B 0.1425 0.1425 0.0000  1 B 2.10, 4 Ir 2.14-2.22
Ir 0.1619 0.1619 0.3238  4 B 2.14-2.22
Ir 0.8381 0.8381 0.6762  4 B 2.14-2.22
Ir 0.4119 0.9119 0.8238  4 B 2.14-2.22
Ir 0.0881 0.5881 0.1762  4 B 2.14-2.22

***

Entry 8:
Y2RhAuC: optimized geometry, GGA-PBE.

- DOS at the Fermi energy (states/eV per atom) = 0.3787
- mass density (g/cm³) = 8.337
- formation enthalpy at 0 K (eV per atom) = -0.65
- E_tot (eV/f.u.) = -36.01
- V (Å³ per cell) = 97.5

a b c (Å): 5.0070 5.0070 3.8904
angles (deg): 90.00 90.00 90.00
Closest atoms and distances in Å follow each position.
Element x y z (fractional)
Rh 0.0000 0.0000 0.5000  2 C 1.95
Y 0.0000 0.5000 0.0000  2 C 2.50
Y 0.5000 0.0000 0.0000  2 C 2.50
C 0.0000 0.0000 0.0000  2 Rh 1.95
Au 0.5000 0.5000 0.5000  8 Y 3.17, 4 Rh 3.54